[1]
{
  "formula": "CuPI2O",
  "functional": "PBE",
  "state": "optimized geometry",
  "e_form_raw_mev_per_atom": 85,
  "e_tot_ev_per_atom": -3.43,
  "magnetic_moment_mub_per_atom": 0.000,
  "dos_ef_per_ev_fu": 1.46,
  "cell": [[-5.278, 1.120, 1.410], [-1.724, -1.882, -4.959], [-0.331, -3.267, 1.355]],
  "species": ["P", "I", "O", "I", "Cu"],
  "frac_coords": [[0.000, 0.000, 0.000], [0.500, 0.000, 0.000], [0.000, 0.000, 0.500], [0.000, 0.500, 0.000], [0.500, 0.500, 0.500]]
}



[2]
{
  "formula": "CuPIO2",
  "functional": "PBE",
  "state": "optimized geometry",
  "e_form_raw_mev_per_atom": 568,
  "e_tot_ev_per_atom": -3.63,
  "magnetic_moment_mub_per_atom": 0.000,
  "dos_ef_per_ev_fu": 8.14,
  "cell": [[3.745, 0.000, 0.000], [0.000, 3.745, 0.000], [0.000, 0.000, 6.615]],
  "species": ["P", "Cu", "O", "O", "I"],
  "frac_coords": [[0.500, 0.500, 0.500], [0.000, 0.000, 0.000], [0.000, 0.500, 0.000], [0.500, 0.000, 0.000], [0.000, 0.000, 0.500]]
}



[3]
{
  "formula": "CuPIO2",
  "functional": "PBE",
  "state": "optimized geometry",
  "e_form_raw_mev_per_atom": -282,
  "e_tot_ev_per_atom": -4.48,
  "magnetic_moment_mub_per_atom": 0.000,
  "dos_ef_per_ev_fu": 1.28,
  "cell": [[-2.398, 0.210, -2.641], [1.421, -2.905, -1.520], [-4.113, -3.808, 3.432]],
  "species": ["P", "O", "Cu", "I", "O"],
  "frac_coords": [[0.000, 0.000, 0.000], [0.500, 0.000, 0.000], [0.500, 0.500, 0.500], [0.000, 0.000, 0.500], [0.000, 0.500, 0.000]]
}



[4]
{
  "formula": "CuPIO2",
  "functional": "PBE",
  "state": "optimized geometry",
  "e_form_raw_mev_per_atom": 438,
  "e_tot_ev_per_atom": -3.76,
  "magnetic_moment_mub_per_atom": 0.000,
  "dos_ef_per_ev_fu": 2.22,
  "cell": [[3.905, 0.000, 0.000], [0.000, 3.905, 0.000], [0.000, 0.000, 5.618]],
  "species": ["Cu", "O", "O", "P", "I"],
  "frac_coords": [[0.500, 0.500, 0.500], [0.500, 0.000, 0.000], [0.000, 0.500, 0.000], [0.000, 0.000, 0.500], [0.000, 0.000, 0.000]]
}



[5]
{
  "formula": "CuPI2O",
  "functional": "PBE",
  "state": "optimized geometry",
  "e_form_raw_mev_per_atom": 499,
  "e_tot_ev_per_atom": -3.01,
  "magnetic_moment_mub_per_atom": 0.172,
  "dos_ef_per_ev_fu": 5.94,
  "cell": [[-2.982, -4.584, -0.295], [1.875, -0.893, -5.067], [2.775, -1.893, 1.361]],
  "species": ["I", "Cu", "P", "I", "O"],
  "frac_coords": [[0.000, 0.500, 0.000], [0.000, 0.000, 0.000], [0.500, 0.500, 0.500], [0.500, 0.000, 0.000], [0.000, 0.000, 0.500]]
}



[6]
{
  "formula": "CuP2IO",
  "functional": "PBE",
  "state": "optimized geometry",
  "e_form_raw_mev_per_atom": 603,
  "e_tot_ev_per_atom": -3.68,
  "magnetic_moment_mub_per_atom": 0.000,
  "dos_ef_per_ev_fu": 4.40,
  "cell": [[4.748, 0.000, 0.000], [0.000, 4.748, 0.000], [0.000, 0.000, 3.756]],
  "species": ["Cu", "P", "I", "P", "O"],
  "frac_coords": [[0.000, 0.000, 0.000], [0.000, 0.500, 0.000], [0.500, 0.500, 0.500], [0.500, 0.000, 0.000], [0.000, 0.000, 0.500]]
}



[7]
{
  "formula": "PaCu2IO6",
  "functional": "PBE",
  "state": "optimized geometry",
  "e_form_raw_mev_per_atom": -1350,
  "e_tot_ev_per_atom": -6.25,
  "magnetic_moment_mub_per_atom": 0.000,
  "cell": [[5.451, -0.006, -0.019], [-2.731, 4.735, -0.125], [-2.739, -1.717, 5.317]],
  "species": ["O", "O", "Cu", "Pa", "O", "O", "O", "O", "I", "Cu"],
  "frac_coords": [[0.137, 0.403, 0.239], [0.130, 0.267, 0.683], [0.469, 0.214, 0.737], [0.000, 0.511, 0.481], [0.525, 0.897, 0.756], [0.856, 0.766, 0.193], [0.865, 0.620, 0.766], [0.478, 0.088, 0.240], [0.009, 0.992, 0.988], [0.495, 0.719, 0.220]]
}



[8]
{
  "formula": "PaCu2IO8",
  "functional": "PBE",
  "state": "optimized geometry",
  "e_form_raw_mev_per_atom": -1086,
  "e_tot_ev_per_atom": -5.99,
  "magnetic_moment_mub_per_atom": 0.172,
  "dos_ef_per_ev_fu": 10.22,
  "cell": [[5.833, 0.356, 0.000], [-2.268, 5.386, 0.000], [-1.783, -2.871, 4.768]],
  "species": ["I", "O", "O", "O", "O", "Cu", "O", "Cu", "O", "O", "O", "Pa"],
  "frac_coords": [[0.000, 0.000, 0.000], [0.286, 0.463, 0.177], [0.891, 0.714, 0.177], [0.952, 0.258, 0.306], [0.952, 0.647, 0.694], [0.750, 0.250, 0.500], [0.286, 0.109, 0.823], [0.500, 0.500, 0.000], [0.537, 0.714, 0.823], [0.742, 0.048, 0.694], [0.353, 0.048, 0.306], [0.250, 0.750, 0.500]]
}



[9]
{
  "formula": "PaCuIO6",
  "functional": "PBE",
  "state": "optimized geometry",
  "e_form_raw_mev_per_atom": -1350,
  "e_tot_ev_per_atom": -6.34,
  "magnetic_moment_mub_per_atom": 0.096,
  "dos_ef_per_ev_fu": 4.88,
  "cell": [[5.629, 0.000, 0.000], [-2.815, 4.875, 0.000], [0.000, 0.000, 8.954]],
  "species": ["O", "O", "O", "Cu", "O", "O", "O", "I", "I", "Cu", "Pa", "Pa", "O", "O", "O", "O", "O", "O"],
  "frac_coords": [[0.012, 0.667, 0.871], [0.988, 0.333, 0.129], [0.667, 0.655, 0.129], [0.000, 0.000, 0.500], [0.012, 0.345, 0.629], [0.345, 0.012, 0.129], [0.333, 0.345, 0.871], [0.667, 0.333, 0.250], [0.333, 0.667, 0.750], [0.000, 0.000, 0.000], [0.667, 0.333, 0.750], [0.333, 0.667, 0.250], [0.345, 0.333, 0.371], [0.988, 0.655, 0.371], [0.667, 0.012, 0.371], [0.655, 0.667, 0.629], [0.655, 0.988, 0.871], [0.333, 0.988, 0.629]]
}



[10]
{
  "formula": "CuPb2IO6",
  "functional": "PBE",
  "state": "optimized geometry",
  "e_form_raw_mev_per_atom": -656,
  "e_tot_ev_per_atom": -4.94,
  "magnetic_moment_mub_per_atom": 0.011,
  "dos_ef_per_ev_fu": 2.33,
  "cell": [[5.649, 0.000, 0.001], [0.000, 5.649, 0.001], [-2.824, -2.824, 4.422]],
  "species": ["I", "Cu", "O", "O", "Pb", "Pb", "O", "O", "O", "O"],
  "frac_coords": [[0.995, 0.996, 0.991], [0.530, 0.531, 0.061], [0.210, 0.210, 0.421], [0.765, 0.766, 0.530], [0.790, 0.290, 0.580], [0.290, 0.791, 0.580], [0.732, 0.228, 0.959], [0.228, 0.228, 0.959], [0.227, 0.731, 0.959], [0.730, 0.732, 0.958]]
}



[11]
{
  "formula": "CuPbIO6",
  "functional": "PBE",
  "state": "optimized geometry",
  "e_form_raw_mev_per_atom": -549,
  "e_tot_ev_per_atom": -4.89,
  "magnetic_moment_mub_per_atom": 0.213,
  "dos_ef_per_ev_fu": 1.34,
  "cell": [[-1.411, 2.035, -4.613], [3.818, -3.575, 0.227], [-7.271, -7.845, -1.237]],
  "species": ["Cu", "O", "O", "O", "Cu", "O", "O", "O", "Pb", "O", "O", "O", "I", "I", "Pb", "O", "O", "O"],
  "frac_coords": [[0.667, 0.333, 0.750], [0.386, 0.370, 0.351], [0.016, 0.386, 0.649], [0.984, 0.614, 0.351], [0.333, 0.667, 0.250], [0.016, 0.630, 0.851], [0.630, 0.614, 0.149], [0.614, 0.630, 0.649], [0.000, 0.000, 0.000], [0.370, 0.984, 0.649], [0.630, 0.016, 0.351], [0.386, 0.016, 0.149], [0.667, 0.333, 0.250], [0.333, 0.667, 0.750], [0.000, 0.000, 0.500], [0.370, 0.386, 0.851], [0.984, 0.370, 0.149], [0.614, 0.984, 0.851]]
}



[12]
{
  "formula": "CuPbI2O",
  "functional": "PBE",
  "state": "optimized geometry",
  "e_form_raw_mev_per_atom": 192,
  "e_tot_ev_per_atom": -2.98,
  "magnetic_moment_mub_per_atom": 0.000,
  "dos_ef_per_ev_fu": 1.03,
  "cell": [[6.063, 0.000, 0.000], [0.000, 6.063, 0.000], [0.000, 0.000, 4.135]],
  "species": ["I", "O", "Pb", "I", "Cu"],
  "frac_coords": [[0.500, 0.000, 0.000], [0.000, 0.000, 0.500], [0.000, 0.000, 0.000], [0.000, 0.500, 0.000], [0.500, 0.500, 0.500]]
}



Copy entry 7 word for word.
{
  "formula": "PaCu2IO6",
  "functional": "PBE",
  "state": "optimized geometry",
  "e_form_raw_mev_per_atom": -1350,
  "e_tot_ev_per_atom": -6.25,
  "magnetic_moment_mub_per_atom": 0.000,
  "cell": [[5.451, -0.006, -0.019], [-2.731, 4.735, -0.125], [-2.739, -1.717, 5.317]],
  "species": ["O", "O", "Cu", "Pa", "O", "O", "O", "O", "I", "Cu"],
  "frac_coords": [[0.137, 0.403, 0.239], [0.130, 0.267, 0.683], [0.469, 0.214, 0.737], [0.000, 0.511, 0.481], [0.525, 0.897, 0.756], [0.856, 0.766, 0.193], [0.865, 0.620, 0.766], [0.478, 0.088, 0.240], [0.009, 0.992, 0.988], [0.495, 0.719, 0.220]]
}